The following is a DFT calculation (GGA-PBE) of a geometry-optimized Pm2Nd3Co2 structure.

Its raw total energy is -0.4034 Ry per atom.

Unit cell a=12.3162 b=3.7879 c=9.1259 alpha=90.00 beta=115.71 gamma=90.00
Space group C2/m (No. 12)
Symmetry-distinct sites (fractional):
1 Pm 0.1744 0.0000 0.3062 (multiplicity 4)
2 Nd 0.0000 0.5000 0.5000 (multiplicity 2)
3 Nd 0.1161 0.5000 0.9232 (multiplicity 4)
4 Co 0.1812 0.0000 0.7453 (multiplicity 4)



The following is a DFT calculation (GGA-PBE) of a geometry-optimized Pm5Nd4Co2 structure.

Its raw total energy is -0.3763 Ry per atom.

Unit cell a=9.0756 b=3.6510 c=10.1052 alpha=90.00 beta=92.83 gamma=90.00
Space group P2/m (No. 10)
Symmetry-distinct sites (fractional):
1 Pm 0.0000 0.0000 0.0000 (multiplicity 1)
2 Pm 0.0295 0.0000 0.3330 (multiplicity 2)
3 Pm 0.3403 0.0000 0.8474 (multiplicity 2)
4 Nd 0.3131 0.5000 0.5327 (multiplicity 2)
5 Nd 0.3266 0.5000 0.1758 (multiplicity 2)
6 Co 0.4610 0.0000 0.3554 (multiplicity 2)



| no. | total moment (μB per cell) |
| --- | --- |
| 1 | 0.0 |
| 2 | 0.0 |